[1]
PBEsol BeRhSe, relaxed; DFT total energy = -5.298 eV/atom; space-group type = P3m1, No. 156
1.0
3.845 0.000 0.000
-1.923 3.330 0.000
0.000 0.000 3.233
Be Rh Se
1 1 1
direct
0.000 0.000 0.000
0.333 0.667 0.998
0.667 0.333 0.498

---

[2]
PBEsol Be2RhSe, relaxed; DFT total energy = -5.005 eV/atom; space-group type = Immm, No. 71
1.0
-1.642 1.988 3.644
1.642 -1.988 3.644
1.642 1.988 -3.644
Be Rh Se
2 1 1
direct
0.246 0.246 0.000
0.754 0.754 0.000
0.500 0.000 0.500
0.000 0.500 0.500

---

[3]
PBEsol Be2RhSe, relaxed; DFT total energy = -5.145 eV/atom; space-group type = Cm, No. 8
1.0
3.736 -1.443 0.000
3.736 1.443 0.000
-0.395 0.000 5.183
Be Rh Se
2 1 1
direct
0.000 0.000 0.000
0.711 0.711 0.829
0.419 0.419 0.688
0.118 0.118 0.395

---

[4]
PBEsol SrBeRh2Se, relaxed; DFT total energy = -5.298 eV/atom; space-group type = P4/mmm, No. 123
1.0
4.286 0.000 0.000
0.000 4.286 0.000
0.000 0.000 4.713
Sr Be Rh Se
1 1 2 1
direct
0.000 0.000 0.000
0.500 0.500 0.500
0.000 0.500 0.500
0.500 0.000 0.500
0.500 0.500 0.000

---

[5]
PBEsol BeSiRh, relaxed; DFT total energy = -6.598 eV/atom; space-group type = Imm2, No. 44
1.0
-1.405 1.617 3.709
1.405 -1.617 3.709
1.405 1.617 -3.709
Be Si Rh
1 1 1
direct
0.000 0.000 0.000
0.334 0.334 0.000
0.665 0.665 0.000

---

[6]
PBEsol Be2SiRh, relaxed; DFT total energy = -5.944 eV/atom; space-group type = I-4m2, No. 119
1.0
-1.720 1.720 3.549
1.720 -1.720 3.549
1.720 1.720 -3.549
Be Si Rh
2 1 1
direct
0.000 0.000 0.000
0.750 0.250 0.500
0.500 0.500 0.000
0.250 0.750 0.500

---

[7]
PBEsol BeSi3Rh, relaxed; DFT total energy = -5.127 eV/atom; space-group type = Pm-3m, No. 221
1.0
4.536 0.000 0.000
0.000 4.536 0.000
0.000 0.000 4.536
Be Si Rh
1 3 1
direct
0.000 0.000 0.000
0.000 0.500 0.500
0.500 0.000 0.500
0.500 0.500 0.000
0.500 0.500 0.500

---

[8]
PBEsol BeSiRh4, relaxed; DFT total energy = -6.605 eV/atom; space-group type = F-43m, No. 216
1.0
0.000 3.513 3.513
3.513 0.000 3.513
3.513 3.513 0.000
Be Si Rh
1 1 4
direct
0.000 0.000 0.000
0.250 0.250 0.250
0.125 0.625 0.625
0.625 0.125 0.625
0.625 0.625 0.125
0.625 0.625 0.625

---

[9]
PBEsol BeSiRh, relaxed; DFT total energy = -6.341 eV/atom; space-group type = F-43m, No. 216
1.0
0.000 2.721 2.721
2.721 0.000 2.721
2.721 2.721 0.000
Be Si Rh
1 1 1
direct
0.000 0.000 0.000
0.500 0.500 0.500
0.250 0.250 0.250

---

[10]
PBEsol Be2SiRh, relaxed; DFT total energy = -5.921 eV/atom; space-group type = I4/mmm, No. 139
1.0
-1.724 1.724 3.540
1.724 -1.724 3.540
1.724 1.724 -3.540
Be Si Rh
2 1 1
direct
0.250 0.750 0.500
0.750 0.250 0.500
0.000 0.000 0.000
0.500 0.500 0.000

---

[11]
PBEsol Sr2BeSnRh, relaxed; space-group type = P4/mmm, No. 123; formation energy = 62.7 kJ per mole of atoms
1.0
6.114 0.000 0.000
0.000 6.114 0.000
0.000 0.000 4.810
Sr Be Sn Rh
2 1 1 1
direct
0.000 0.500 0.000
0.500 0.000 0.000
0.000 0.000 0.500
0.500 0.500 0.000
0.500 0.500 0.500

---

[12]
PBEsol Sr2BeRh, relaxed; space-group type = P4mm, No. 99; formation energy = 2.1 kJ per mole of atoms
1.0
3.306 0.000 0.000
0.000 3.306 0.000
0.000 0.000 8.657
Sr Be Rh
2 1 1
direct
0.000 0.000 0.000
0.500 0.500 0.412
0.000 0.000 0.671
0.500 0.500 0.735

---

Number 1: M_tot 0.0 μB per formula unit, DOS at the Fermi energy 1.5 states/eV/cell, V 13.80 Å³/atom. Number 2: M_tot 0.0 μB per formula unit, DOS at the Fermi energy 1.2 states/eV/cell, V 11.89 Å³/atom. Number 3: M_tot 0.0 μB per formula unit, DOS at the Fermi energy 1.2 states/eV/cell, V 13.97 Å³/atom. Number 4: M_tot 0.0 μB per formula unit, DOS at the Fermi energy 4.1 states/eV/cell, V 17.32 Å³/atom. Number 5: M_tot 0.0 μB per formula unit, DOS at the Fermi energy 0.8 states/eV/cell, V 11.24 Å³/atom. Number 6: M_tot 0.0 μB per formula unit, DOS at the Fermi energy 1.1 states/eV/cell, V 10.50 Å³/atom. Number 7: M_tot 0.0 μB per formula unit, DOS at the Fermi energy 2.2 states/eV/cell, V 18.66 Å³/atom. Number 8: M_tot 0.0 μB per formula unit, DOS at the Fermi energy 6.2 states/eV/cell, V 14.46 Å³/atom. Number 9: M_tot 0.0 μB per formula unit, DOS at the Fermi energy 1.5 states/eV/cell, V 13.44 Å³/atom. Number 10: M_tot 0.0 μB per formula unit, DOS at the Fermi energy 1.0 states/eV/cell, V 10.52 Å³/atom. Number 11: M_tot 0.0 μB per formula unit, DOS at the Fermi energy 3.6 states/eV/cell, V 35.97 Å³/atom. Number 12: M_tot 0.0 μB per formula unit, DOS at the Fermi energy 3.0 states/eV/cell, V 23.65 Å³/atom.